The following is a DFT calculation (SCAN) of a crystal of LaSb12Ru4 relaxed with PBEsol.

Results
- Spin magnetization: 0.0 μB/cell
- Symmetry: Im-3, No. 204
- DOS at the Fermi energy: 0.56 states/eV/atom
- Raw formation energy: -0.453 eV/atom

CIF file:
```
data_LaSb12Ru4
_cell_length_a 8.0219
_cell_length_b 8.0219
_cell_length_c 8.0219
_cell_angle_alpha 109.47
_cell_angle_beta 109.47
_cell_angle_gamma 109.47
_symmetry_space_group_name_H-M 'P 1'
_symmetry_Int_Tables_number 1
loop_
_symmetry_equiv_pos_as_xyz
'x,y,z'
loop_
_atom_site_label
_atom_site_type_symbol
_atom_site_fract_x
_atom_site_fract_y
_atom_site_fract_z
La1 La 0.0000 0.0000 0.0000
Sb1 Sb 0.1589 0.4995 0.3406
Sb2 Sb 0.1589 0.8183 0.6594
Sb3 Sb 0.1817 0.3406 0.8411
Sb4 Sb 0.3406 0.1589 0.4995
Sb5 Sb 0.3406 0.8411 0.1817
Sb6 Sb 0.4995 0.3406 0.1589
Sb7 Sb 0.5005 0.6594 0.8411
Sb8 Sb 0.6594 0.1589 0.8183
Sb9 Sb 0.6594 0.8411 0.5005
Sb10 Sb 0.8183 0.6594 0.1589
Sb11 Sb 0.8411 0.1817 0.3406
Sb12 Sb 0.8411 0.5005 0.6594
Ru1 Ru 0.0000 0.0000 0.5000
Ru2 Ru 0.0000 0.5000 0.0000
Ru3 Ru 0.5000 0.0000 0.0000
Ru4 Ru 0.5000 0.5000 0.5000
```